1.
CrCuTc2: relaxed, PBE-GGA.

Calculated values
E above lowest polymorph = 68 meV/atom
DFT formation energy = 0.263 eV per atom
ρ = 9.6 g/cm3
energy = -33.399 eV for the cell shown
symmetry = Immm (71)
crystal system = orthorhombic

Lattice parameters (Å, degrees): 4.944 4.944 4.944 144.34 128.97 63.81
Fractional positions:
Cr 0.750 0.250 0.500
Tc 0.520 0.520 0.000
Tc 0.980 0.980 0.000
Cu 0.250 0.750 0.500

***

2.
Rb2Zr2Zn: relaxed, PBE-GGA.

Calculated values
DFT formation energy = 1.156 eV per atom
ρ = 4.3 g/cm3
energy = -14.525 eV for the cell shown
symmetry = I4/mmm (139)
crystal system = tetragonal

Lattice parameters (Å, degrees): 4.268 4.268 9.381 76.85 76.85 90.00
Fractional positions:
Rb 0.250 0.750 0.500
Rb 0.750 0.250 0.500
Zr 0.568 0.568 0.864
Zr 0.432 0.432 0.136
Zn 0.000 0.000 0.000

***

3.
LiBe2Ru: relaxed, PBE-GGA.

Calculated values
DFT formation energy = -0.138 eV per atom
ρ = 4.5 g/cm3
energy = -19.194 eV for the cell shown
symmetry = Pmmm (47)
crystal system = orthorhombic

Lattice parameters (Å, degrees): 2.941 2.922 6.197 61.86 90.00 90.00
Fractional positions:
Ru 0.500 0.750 0.750
Be 0.000 0.057 0.943
Be 0.000 0.443 0.557
Li 0.500 0.250 0.250

***

4.
Ti4Te3Se: relaxed, PBE-GGA.

Calculated values
ΔE_f (raw) = -3.72 eV per formula unit
ρ = 5.8 g/cm3
energy = -96.413 eV for the cell shown
symmetry = Pmn2_1 (31)
crystal system = orthorhombic

Lattice parameters (Å, degrees): 7.341 7.242 7.024 90.00 90.00 90.00
Site moments in Bohr magnetons follow the coordinates.
Fractional positions:
Te 0.373 0.916 0.000  -0.01
Ti 0.507 0.132 0.500  0.06
Ti 0.712 0.787 0.229  0.30
Ti 0.712 0.787 0.771  0.30
Ti 0.212 0.213 0.729  0.30
Te 0.538 0.410 0.760  -0.01
Ti 0.152 0.863 0.500  -0.08
Se 0.983 0.214 0.000  -0.01
Se 0.483 0.786 0.500  -0.01
Ti 0.007 0.868 0.000  0.06
Ti 0.652 0.137 0.000  -0.08
Te 0.538 0.410 0.240  -0.01
Te 0.873 0.084 0.500  -0.01
Ti 0.212 0.213 0.271  0.30
Te 0.038 0.590 0.740  -0.01
Te 0.038 0.590 0.260  -0.01

***

Question: Look up the ρ of the second one.
Answer: 4.3 g/cm3

***

Question: The highest ρ belongs to which entry?
Answer: CrCuTc2

***

Question: Look up the energy of the first one.
Answer: -33.399 eV for the cell shown

***

Please write out number 2 again, unchanged.
Rb2Zr2Zn: relaxed, PBE-GGA.

Calculated values
DFT formation energy = 1.156 eV per atom
ρ = 4.3 g/cm3
energy = -14.525 eV for the cell shown
symmetry = I4/mmm (139)
crystal system = tetragonal

Lattice parameters (Å, degrees): 4.268 4.268 9.381 76.85 76.85 90.00
Fractional positions:
Rb 0.250 0.750 0.500
Rb 0.750 0.250 0.500
Zr 0.568 0.568 0.864
Zr 0.432 0.432 0.136
Zn 0.000 0.000 0.000